A PBEsol-optimized structure of Y2Ga2Hg, computed with meta-GGA SCAN.

Cell: 4.430 6.993 6.993 Å, 90.00 90.00 90.00°
Positions (direct):
Y  0.500  0.329  0.171
Y  0.500  0.171  0.671
Ga  0.000  0.371  0.871
Ga  0.000  0.629  0.129
Hg  0.000  0.000  0.000
Ga  0.000  0.129  0.371
Y  0.500  0.829  0.329
Y  0.500  0.671  0.829
Ga  0.000  0.871  0.629
Hg  0.000  0.500  0.500

For the total DFT energy (no corrections), the calculation gives -32.058 eV/atom. The formation energy is -0.749 eV/atom. The value obtained for the calculated volume is 21.7 A^3/atom. As for the magnetic moment: 0.0 μB/cell.



A PBEsol-optimized structure of YGaHg, computed with meta-GGA SCAN.

Cell: 4.543 4.543 7.211 Å, 90.00 90.00 120.00°
Positions (direct):
Ga  0.667  0.333  0.022
Hg  0.333  0.667  0.106
Hg  0.667  0.333  0.606
Ga  0.333  0.667  0.522
Y  0.000  0.000  0.318
Y  0.000  0.000  0.818

For the total DFT energy (no corrections), the calculation gives -38.246 eV/atom. The formation energy is -0.794 eV/atom. The value obtained for the calculated volume is 21.5 A^3/atom. As for the magnetic moment: 0.0 μB/cell.



A PBEsol-optimized structure of Zr2Ga2Hg, computed with meta-GGA SCAN.

Cell: 3.912 6.891 6.891 Å, 90.00 90.00 90.00°
Positions (direct):
Zr  0.500  0.325  0.175
Ga  0.000  0.625  0.125
Hg  0.000  0.000  0.000
Ga  0.000  0.125  0.375
Ga  0.000  0.875  0.625
Ga  0.000  0.375  0.875
Zr  0.500  0.675  0.825
Hg  0.000  0.500  0.500
Zr  0.500  0.825  0.325
Zr  0.500  0.175  0.675

For the total DFT energy (no corrections), the calculation gives -33.045 eV/atom. The formation energy is -0.593 eV/atom. The value obtained for the calculated volume is 18.6 A^3/atom. As for the magnetic moment: 0.0 μB/cell.



A PBEsol-optimized structure of Ho5Ga3, computed with meta-GGA SCAN.

Cell: 7.457 7.457 13.876 Å, 90.00 90.00 90.00°
Positions (direct):
Ho  0.182  0.844  0.898
Ho  0.318  0.656  0.102
Ga  0.500  0.000  0.507
Ga  0.500  0.000  0.007
Ho  0.000  0.500  0.772
Ho  0.818  0.156  0.898
Ho  0.156  0.182  0.102
Ga  0.877  0.123  0.250
Ho  0.500  0.000  0.728
Ho  0.844  0.182  0.602
Ho  0.344  0.682  0.398
Ga  0.623  0.623  0.250
Ho  0.844  0.818  0.102
Ga  0.123  0.877  0.250
Ga  0.123  0.123  0.750
Ho  0.656  0.318  0.398
Ga  0.377  0.623  0.750
Ga  0.623  0.377  0.750
Ho  0.682  0.656  0.602
Ho  0.000  0.500  0.272
Ho  0.318  0.344  0.602
Ga  0.000  0.500  0.493
Ga  0.877  0.877  0.750
Ho  0.682  0.344  0.102
Ho  0.182  0.156  0.398
Ho  0.818  0.844  0.398
Ho  0.500  0.000  0.228
Ho  0.656  0.682  0.898
Ga  0.000  0.500  0.993
Ho  0.344  0.318  0.898
Ho  0.156  0.818  0.602
Ga  0.377  0.377  0.250

For the total DFT energy (no corrections), the calculation gives -37.330 eV/atom. The formation energy is -0.583 eV/atom. The value obtained for the calculated volume is 24.1 A^3/atom. As for the magnetic moment: 0.0 μB/cell. The value obtained for the energy above the most stable polymorph in this dataset is 0.0 meV per atom.



The highest total DFT energy (no corrections) belongs to which entry? Y2Ga2Hg



Repeat the third record exactly.
A PBEsol-optimized structure of Zr2Ga2Hg, computed with meta-GGA SCAN.

Cell: 3.912 6.891 6.891 Å, 90.00 90.00 90.00°
Positions (direct):
Zr  0.500  0.325  0.175
Ga  0.000  0.625  0.125
Hg  0.000  0.000  0.000
Ga  0.000  0.125  0.375
Ga  0.000  0.875  0.625
Ga  0.000  0.375  0.875
Zr  0.500  0.675  0.825
Hg  0.000  0.500  0.500
Zr  0.500  0.825  0.325
Zr  0.500  0.175  0.675

For the total DFT energy (no corrections), the calculation gives -33.045 eV/atom. The formation energy is -0.593 eV/atom. The value obtained for the calculated volume is 18.6 A^3/atom. As for the magnetic moment: 0.0 μB/cell.



What is the calculated volume in the first record? 21.7 A^3/atom